Ca5Al | the Alexandria database | meta-GGA SCAN | PBEsol geometry; energy above the most stable polymorph in this dataset = 0.0 meV per atom; E_form = -0.037 eV per atom
1.0
3.981 0.000 0.000
-1.990 6.653 0.000
0.000 -3.079 8.280
Ca Al
5 1
direct
0.364 0.728 0.764
0.028 0.056 0.558
0.690 0.379 0.345
0.666 0.332 0.920
0.392 0.783 0.193
0.027 0.054 0.052

***

CrNiPOs2 | the Alexandria database | meta-GGA SCAN | PBEsol geometry; E_form = 1.855 eV per atom
1.0
-1.594 -1.970 3.298
0.912 -3.861 -1.866
3.945 0.008 1.911
P Ni Cr Os
1 1 1 2
direct
0.500 0.500 0.500
0.500 0.000 0.000
0.000 0.000 0.000
0.000 0.000 0.500
0.000 0.500 0.000

***

InOs2Pt | the Alexandria database | meta-GGA SCAN | PBEsol geometry; energy above the most stable polymorph in this dataset = 435.9 meV per atom; E_form = 0.743 eV per atom
1.0
-0.815 0.119 -2.660
-1.897 -0.378 2.003
-1.059 9.239 0.739
Os In Pt
2 1 1
direct
0.000 0.000 0.745
0.000 0.000 0.255
0.500 0.500 0.000
0.500 0.500 0.500

***

SrCa2 | the Alexandria database | meta-GGA SCAN | PBEsol geometry; energy above the most stable polymorph in this dataset = 4.1 meV per atom; E_form = 0.018 eV per atom
1.0
3.960 0.000 0.000
0.000 6.527 0.000
-1.980 0.000 10.263
Sr Ca
2 4
direct
0.889 0.250 0.779
0.111 0.750 0.221
0.221 0.250 0.442
0.443 0.750 0.886
0.557 0.250 0.114
0.779 0.750 0.558

***

ZrTl4As | the Alexandria database | meta-GGA SCAN | PBEsol geometry; E_form = 0.516 eV per atom
1.0
5.961 0.000 0.000
2.981 5.163 0.000
2.981 1.721 4.867
Tl As Zr
4 1 1
direct
0.375 0.874 0.375
0.874 0.375 0.375
0.375 0.375 0.874
0.375 0.375 0.375
0.000 0.000 0.000
0.750 0.750 0.750

***

Mg3P | the Alexandria database | meta-GGA SCAN | PBEsol geometry; E_form = -0.204 eV per atom
1.0
-0.870 2.569 -2.808
0.764 -0.854 -3.732
-6.421 -2.300 -2.829
Mg P
3 1
direct
0.724 0.724 0.829
0.500 0.500 0.500
0.276 0.276 0.171
0.000 0.000 0.000

***

Cu2Sn2Bi | the Alexandria database | meta-GGA SCAN | PBEsol geometry; E_form = 0.283 eV per atom
1.0
-0.393 2.708 3.203
1.013 -3.060 2.712
5.370 1.604 -3.468
Sn Cu Bi
2 2 1
direct
0.750 0.250 0.500
0.250 0.750 0.500
0.399 0.399 0.798
0.601 0.601 0.202
0.000 0.000 0.000

***

MgRh2Se | the Alexandria database | meta-GGA SCAN | PBEsol geometry; electronic total energy = -23.278 eV/atom
1.0
-2.492 1.253 -0.832
-2.124 -3.728 0.747
-0.713 1.321 4.568
Rh Mg Se
2 1 1
direct
0.290 0.000 0.244
0.710 0.000 0.756
0.000 0.500 0.500
0.500 0.500 0.000

***

YSc2Ag | the Alexandria database | meta-GGA SCAN | PBEsol geometry; energy above the most stable polymorph in this dataset = 190.7 meV per atom; E_form = 0.031 eV per atom
1.0
-1.496 2.414 -1.743
-3.645 -0.560 2.352
2.015 4.229 4.130
Sc Y Ag
2 1 1
direct
0.000 0.000 0.734
0.000 0.000 0.266
0.500 0.500 0.000
0.500 0.500 0.500

***

LiNdZn2 | the Alexandria database | meta-GGA SCAN | PBEsol geometry; E_form = -0.306 eV per atom
1.0
4.803 0.000 0.000
2.401 4.159 0.000
2.401 1.386 3.921
Nd Li Zn
1 1 2
direct
0.000 0.000 0.000
0.500 0.500 0.500
0.750 0.750 0.750
0.250 0.250 0.250

***

BaRhS3 | the Alexandria database | meta-GGA SCAN | PBEsol geometry; energy above the most stable polymorph in this dataset = 0.0 meV per atom
1.0
4.724 0.000 0.000
0.000 4.724 0.000
0.000 0.000 4.724
S Ba Rh
3 1 1
direct
0.000 0.000 0.500
0.000 0.500 0.000
0.500 0.000 0.000
0.500 0.500 0.500
0.000 0.000 0.000

***

MgBeAs3 | the Alexandria database | meta-GGA SCAN | PBEsol geometry; E_form = 1.181 eV per atom
1.0
4.848 0.000 0.000
0.000 4.848 0.000
0.000 0.000 4.848
As Be Mg
3 1 1
direct
0.000 0.500 0.000
0.000 0.000 0.500
0.500 0.000 0.000
0.500 0.500 0.500
0.000 0.000 0.000

***

no.,ρ (kg/m3),spin magnetization (μB per formula unit)
1,1722,0.5
2,10847,0.0
3,18222,0.0
4,2100,0.1
5,10903,0.0
6,1859,0.0
7,9128,0.0
8,8421,0.0
9,5230,0.0
10,5978,0.0
11,5300,1.6
12,3762,0.0